1.
DFT (PBE) results for an optimized crystal structure of LiBi2PbSe4.

Summary:
Its formation energy without anion corrections is -0.50 eV per atom.

Cell and atoms, written as CIF:
```
data_LiBi2PbSe4
_chemical_formula_sum 'Li1 Bi2 Pb1 Se4'
_symmetry_space_group_name_H-M 'P 1'
_symmetry_Int_Tables_number 1
_symmetry_space_group_name_Hall 'P 1'
_cell_length_a 7.192
_cell_length_b 4.491
_cell_length_c 7.339
_cell_angle_alpha 90.00
_cell_angle_beta 111.34
_cell_angle_gamma 90.00
loop_
_atom_site_label
_atom_site_type_symbol
_atom_site_fract_x
_atom_site_fract_y
_atom_site_fract_z
Li1 Li 0.000 0.000 0.000
Bi1 Bi 0.500 0.000 0.500
Bi2 Bi 0.500 0.500 0.000
Pb1 Pb 0.000 0.500 0.500
Se1 Se 0.254 0.500 0.245
Se2 Se 0.256 0.000 0.759
Se3 Se 0.744 0.000 0.241
Se4 Se 0.746 0.500 0.755
```

---

2.
DFT (PBE) results for an optimized crystal structure of Dy2MoC2.

Summary:
For the formation energy, the calculation gives -30 kJ/mol of atoms.

Cell and atoms, written as CIF:
```
data_Dy2MoC2
_chemical_formula_sum 'Dy8 Mo4 C8'
_symmetry_space_group_name_H-M 'P 1'
_symmetry_Int_Tables_number 1
_symmetry_space_group_name_Hall 'P 1'
_cell_length_a 6.652
_cell_length_b 5.125
_cell_length_c 9.994
_cell_angle_alpha 90.00
_cell_angle_beta 90.00
_cell_angle_gamma 90.00
loop_
_atom_site_label
_atom_site_type_symbol
_atom_site_fract_x
_atom_site_fract_y
_atom_site_fract_z
Dy1 Dy 0.043 0.250 0.221
Dy2 Dy 0.175 0.250 0.559
Dy3 Dy 0.325 0.750 0.059
Dy4 Dy 0.457 0.750 0.721
Dy5 Dy 0.543 0.250 0.279
Dy6 Dy 0.675 0.250 0.941
Dy7 Dy 0.825 0.750 0.441
Dy8 Dy 0.957 0.750 0.779
Mo1 Mo 0.210 0.250 0.871
Mo2 Mo 0.290 0.750 0.371
Mo3 Mo 0.710 0.250 0.629
Mo4 Mo 0.790 0.750 0.129
C1 C 0.060 0.750 0.242
C2 C 0.177 0.750 0.553
C3 C 0.323 0.250 0.053
C4 C 0.440 0.250 0.742
C5 C 0.560 0.750 0.258
C6 C 0.677 0.750 0.947
C7 C 0.823 0.250 0.447
C8 C 0.940 0.250 0.758
```

---

3.
DFT (PBE) results for an optimized crystal structure of MgBe2Hg2.

Summary:
For the formation energy, the calculation gives 23 kJ/mol of atoms.

Cell and atoms, written as CIF:
```
data_MgBe2Hg2
_chemical_formula_sum 'Mg1 Be2 Hg2'
_symmetry_space_group_name_H-M 'P 1'
_symmetry_Int_Tables_number 1
_symmetry_space_group_name_Hall 'P 1'
_cell_length_a 6.914
_cell_length_b 6.914
_cell_length_c 6.914
_cell_angle_alpha 149.69
_cell_angle_beta 149.69
_cell_angle_gamma 43.40
loop_
_atom_site_label
_atom_site_type_symbol
_atom_site_fract_x
_atom_site_fract_y
_atom_site_fract_z
Mg1 Mg 0.000 0.000 0.000
Be1 Be 0.250 0.750 0.500
Be2 Be 0.750 0.250 0.500
Hg1 Hg 0.383 0.383 0.000
Hg2 Hg 0.617 0.617 0.000
```